TiMn2CdFe: relaxed, GGA-PBE.

abc: 4.6062 4.6062 4.2714
angles: 90.00 90.00 90.00
Space group P4/mmm (No. 123)
Unique sites:
Ti: 0.0000 0.0000 0.0000 (multiplicity 1)
Mn: 0.0000 0.5000 0.5000 (multiplicity 2)
Cd: 0.5000 0.5000 0.0000 (multiplicity 1)
Fe: 0.0000 0.0000 0.5000 (multiplicity 1)

Properties
For the total magnetization, the calculation gives 7.27 μB/f.u. For the formation energy from the elements, the calculation gives 603 meV per atom. For the density of states at the Fermi level, the calculation gives 1.22 states/eV/atom.